Density functional theory data (PBE with a Hubbard U) for an optimized crystal structure of LiAlV2O6.

a = 5.006 Å, b = 4.951 Å, c = 5.388 Å
α = 61.91°, β = 62.26°, γ = 59.91°
Site moments in Bohr magnetons follow the coordinates.
Fractional coordinates of all 10 atoms:
Li1 0.791 0.804 0.596  0.00
O1 0.265 0.912 0.236  -0.05
O2 0.602 0.242 0.235  -0.02
O3 0.717 0.140 0.753  -0.03
O4 0.133 0.376 0.761  -0.05
Al1 0.321 0.322 0.049  0.01
O5 0.926 0.599 0.232  -0.02
V1 0.007 0.022 0.953  1.04
V2 0.514 0.525 0.442  1.06
O6 0.384 0.719 0.759  -0.01

Calculated values
- Crystal system: triclinic
- Final energy: -72.74 eV for the cell shown
- Volume: 9.7 Å³/atom